Entry from Alexandria via LeMat-Bulk: PrDyYAl after structural relaxation (PBE-GGA).

Cell: 7.6802 7.6802 7.6802 Å, 90.00 90.00 90.00°
Space group F-43m (No. 216)
Unique sites:
Pr1 0.0000 0.0000 0.0000 x4
Dy1 0.2500 0.2500 0.2500 x4
Y1 0.0000 0.0000 0.5000 x4
Al1 0.2500 0.2500 0.7500 x4

Calculated values
Magnetic moment ... 0.20 μB/atom
D(E_F) ... 26.09 states/eV per cell
E above lowest polymorph ... 14.2 kJ per mole of atoms